(a)
PuHfSe | GGA-PBE | optimized geometry

Values from the calculation:
DOS at the Fermi energy ... 7.8 states/eV/f.u.
Space-group type ... P-6m2 (187)

extended XYZ file:
```
3
Lattice="4.6893 0.0000 0.0000 -2.3447 4.0611 0.0000 0.0000 0.0000 3.5659" Properties=species:S:1:pos:R:3 pbc="T T T"
Pu 0.0000 0.0000 0.0000
Hf 2.3447 1.3537 1.7829
Se 0.0000 2.7074 1.7829
```

(b)
PuHfSe | GGA-PBE | optimized geometry

Values from the calculation:
DOS at the Fermi energy ... 8.2 states/eV/f.u.
Space-group type ... P-6m2 (187)

extended XYZ file:
```
6
Lattice="3.5094 0.0000 0.0000 -1.7547 3.0392 0.0000 0.0000 0.0000 13.1962" Properties=species:S:1:pos:R:3 pbc="T T T"
Pu 0.0000 0.0000 2.5843
Pu 0.0000 0.0000 10.6119
Hf 0.0000 0.0000 6.5981
Hf 1.7547 1.0131 0.0000
Se 1.7547 1.0131 4.8245
Se 1.7547 1.0131 8.3717
```

Most stable structure - (b); separation to the second - 27.1 kJ/mol of atoms.

(a)
SmPuHf | GGA-PBE | optimized geometry

Values from the calculation:
DOS at the Fermi energy ... 7.6 states/eV/f.u.
Space-group type ... I4/mmm (139)

extended XYZ file:
```
6
Lattice="-1.6340 1.6340 15.2588 1.6340 -1.6340 15.2588 1.6340 1.6340 -15.2588" Properties=species:S:1:pos:R:3 pbc="T T T"
Sm 0.0000 0.0000 1.7322
Sm 0.0000 0.0000 28.7855
Pu 0.0000 0.0000 10.9575
Pu 0.0000 0.0000 19.5602
Hf 0.0000 0.0000 6.5765
Hf 0.0000 0.0000 23.9412
```

(b)
SmPuHf | GGA-PBE | optimized geometry

Values from the calculation:
DOS at the Fermi energy ... 6.6 states/eV/f.u.
Space-group type ... I4mm (107)

extended XYZ file:
```
3
Lattice="-1.6597 1.6597 7.2752 1.6597 -1.6597 7.2752 1.6597 1.6597 -7.2752" Properties=species:S:1:pos:R:3 pbc="T T T"
Sm 0.0000 0.0000 0.0000
Pu 0.0000 0.0000 4.6258
Hf 0.0000 0.0000 9.7338
```

Most stable structure - (b); separation to the second - 2.4 kJ/mol of atoms.

(a)
PuHf2Sn | GGA-PBE | optimized geometry

Values from the calculation:
DOS at the Fermi energy ... 7.1 states/eV/f.u.
Space-group type ... P4/mmm (123)

extended XYZ file:
```
4
Lattice="3.6296 0.0000 0.0000 0.0000 3.6296 0.0000 0.0000 0.0000 6.8700" Properties=species:S:1:pos:R:3 pbc="T T T"
Pu 0.0000 0.0000 0.0000
Hf 1.8148 1.8148 1.8105
Hf 1.8148 1.8148 5.0595
Sn 0.0000 0.0000 3.4350
```

(b)
PuHf2Sn | GGA-PBE | optimized geometry

Values from the calculation:
DOS at the Fermi energy ... 7.9 states/eV/f.u.
Space-group type ... P4/mmm (123)

extended XYZ file:
```
4
Lattice="4.5992 0.0000 0.0000 0.0000 4.5992 0.0000 0.0000 0.0000 4.2804" Properties=species:S:1:pos:R:3 pbc="T T T"
Pu 0.0000 0.0000 0.0000
Hf 0.0000 2.2996 2.1402
Hf 2.2996 0.0000 2.1402
Sn 2.2996 2.2996 0.0000
```

(c)
PuHf2Sn | GGA-PBE | optimized geometry

Values from the calculation:
DOS at the Fermi energy ... 10.7 states/eV/f.u.
Space-group type ... Fm-3m (225)

extended XYZ file:
```
4
Lattice="0.0000 3.5457 3.5457 3.5457 0.0000 3.5457 3.5457 3.5457 0.0000" Properties=species:S:1:pos:R:3 pbc="T T T"
Pu 0.0000 0.0000 0.0000
Hf 1.7729 1.7729 1.7729
Hf 5.3186 5.3186 5.3186
Sn 3.5457 3.5457 3.5457
```

Most stable structure - (b); separation to the second - 14.0 kJ/mol of atoms.

(a)
PuHfSn | GGA-PBE | optimized geometry

Values from the calculation:
DOS at the Fermi energy ... 3.3 states/eV/f.u.
Space-group type ... R-3m (166)

extended XYZ file:
```
6
Lattice="2.0713 1.1959 9.2186 -2.0713 1.1959 9.2186 0.0000 -2.3918 9.2186" Properties=species:S:1:pos:R:3 pbc="T T T"
Pu 0.0000 0.0000 4.6502
Pu 0.0000 0.0000 23.0056
Hf 0.0000 0.0000 11.8310
Hf 0.0000 0.0000 15.8247
Sn 0.0000 0.0000 8.3958
Sn 0.0000 0.0000 19.2599
```

(b)
PuHfSn | GGA-PBE | optimized geometry

Values from the calculation:
DOS at the Fermi energy ... 7.8 states/eV/f.u.
Space-group type ... P-6m2 (187)

extended XYZ file:
```
3
Lattice="5.1282 0.0000 0.0000 -2.5641 4.4412 0.0000 0.0000 0.0000 3.0907" Properties=species:S:1:pos:R:3 pbc="T T T"
Pu 0.0000 0.0000 0.0000
Hf 2.5641 1.4804 0.0000
Sn 0.0000 2.9608 1.5454
```

Most stable structure - (b); separation to the second - 8.9 kJ/mol of atoms.

(a)
Pu2HfSn | GGA-PBE | optimized geometry

Values from the calculation:
DOS at the Fermi energy ... 10.1 states/eV/f.u.
Space-group type ... P4/mmm (123)

extended XYZ file:
```
4
Lattice="4.4060 0.0000 0.0000 0.0000 4.4060 0.0000 0.0000 0.0000 4.8950" Properties=species:S:1:pos:R:3 pbc="T T T"
Pu 0.0000 2.2030 0.0000
Pu 2.2030 0.0000 0.0000
Hf 0.0000 0.0000 2.4475
Sn 2.2030 2.2030 2.4475
```

(b)
Pu2HfSn | GGA-PBE | optimized geometry

Values from the calculation:
DOS at the Fermi energy ... 12.9 states/eV/f.u.
Space-group type ... Fm-3m (225)

extended XYZ file:
```
4
Lattice="0.0000 3.6963 3.6963 3.6963 0.0000 3.6963 3.6963 3.6963 0.0000" Properties=species:S:1:pos:R:3 pbc="T T T"
Pu 1.8482 1.8482 1.8482
Pu 5.5445 5.5445 5.5445
Hf 0.0000 0.0000 0.0000
Sn 3.6963 3.6963 3.6963
```

Most stable structure - (a); separation to the second - 29.2 kJ/mol of atoms.

(a)
TbPuHf2 | GGA-PBE | optimized geometry

Values from the calculation:
DOS at the Fermi energy ... 9.5 states/eV/f.u.
Space-group type ... R-3m (166)

extended XYZ file:
```
4
Lattice="1.6394 0.9465 10.6883 -1.6394 0.9465 10.6883 0.0000 -1.8930 10.6883" Properties=species:S:1:pos:R:3 pbc="T T T"
Tb 0.0000 0.0000 0.0000
Pu 0.0000 0.0000 16.0324
Hf 0.0000 0.0000 7.9187
Hf 0.0000 0.0000 24.1462
```

(b)
TbPuHf2 | GGA-PBE | optimized geometry

Values from the calculation:
DOS at the Fermi energy ... 10.5 states/eV/f.u.
Space-group type ... P4/mmm (123)

extended XYZ file:
```
4
Lattice="4.5958 0.0000 0.0000 0.0000 4.5958 0.0000 0.0000 0.0000 4.7063" Properties=species:S:1:pos:R:3 pbc="T T T"
Tb 0.0000 0.0000 0.0000
Pu 2.2979 2.2979 0.0000
Hf 0.0000 2.2979 2.3532
Hf 2.2979 0.0000 2.3532
```

(c)
TbPuHf2 | GGA-PBE | optimized geometry

Values from the calculation:
DOS at the Fermi energy ... 7.6 states/eV/f.u.
Space-group type ... P4/mmm (123)

extended XYZ file:
```
4
Lattice="3.7683 0.0000 0.0000 0.0000 3.7683 0.0000 0.0000 0.0000 7.0518" Properties=species:S:1:pos:R:3 pbc="T T T"
Tb 0.0000 0.0000 0.0000
Pu 0.0000 0.0000 3.5259
Hf 1.8842 1.8842 2.0126
Hf 1.8842 1.8842 5.0392
```

Most stable structure - (b); separation to the second - 1.2 kJ/mol of atoms.

(a)
TbPu2Hf | GGA-PBE | optimized geometry

Values from the calculation:
DOS at the Fermi energy ... 14.0 states/eV/f.u.
Space-group type ... P4/mmm (123)

extended XYZ file:
```
4
Lattice="4.6661 0.0000 0.0000 0.0000 4.6661 0.0000 0.0000 0.0000 4.7532" Properties=species:S:1:pos:R:3 pbc="T T T"
Tb 0.0000 0.0000 0.0000
Pu 0.0000 2.3330 2.3766
Pu 2.3330 0.0000 2.3766
Hf 2.3330 2.3330 0.0000
```

(b)
TbPu2Hf | GGA-PBE | optimized geometry

Values from the calculation:
DOS at the Fermi energy ... 12.5 states/eV/f.u.
Space-group type ... P4/mmm (123)

extended XYZ file:
```
4
Lattice="3.2845 0.0000 0.0000 0.0000 3.2845 0.0000 0.0000 0.0000 9.6864" Properties=species:S:1:pos:R:3 pbc="T T T"
Tb 0.0000 0.0000 0.0000
Pu 1.6423 1.6423 2.6075
Pu 1.6423 1.6423 7.0790
Hf 0.0000 0.0000 4.8432
```

Most stable structure - (b); separation to the second - 4.9 kJ/mol of atoms.

(a)
PuHf2Tc | GGA-PBE | optimized geometry

Values from the calculation:
DOS at the Fermi energy ... 10.2 states/eV/f.u.
Space-group type ... R-3m (166)

extended XYZ file:
```
4
Lattice="1.5817 0.9132 10.1725 -1.5817 0.9132 10.1725 0.0000 -1.8264 10.1725" Properties=species:S:1:pos:R:3 pbc="T T T"
Pu 0.0000 0.0000 0.0000
Hf 0.0000 0.0000 3.0856
Hf 0.0000 0.0000 27.4320
Tc 0.0000 0.0000 15.2588
```

(b)
PuHf2Tc | GGA-PBE | optimized geometry

Values from the calculation:
DOS at the Fermi energy ... 7.3 states/eV/f.u.
Space-group type ... P4/mmm (123)

extended XYZ file:
```
4
Lattice="3.2582 0.0000 0.0000 0.0000 3.2582 0.0000 0.0000 0.0000 7.8441" Properties=species:S:1:pos:R:3 pbc="T T T"
Pu 0.0000 0.0000 0.0000
Hf 1.6291 1.6291 2.3416
Hf 1.6291 1.6291 5.5025
Tc 0.0000 0.0000 3.9221
```

Most stable structure - (b); separation to the second - 38.0 kJ/mol of atoms.